Density functional theory data (GGA-PBE) for a geometry-optimized MnZnSb2 structure.

Results
Crystal system: monoclinic
Formation energy without anion corrections, eV per atom: 0.235

Cell: 5.5146 5.5146 5.2632 Å, 104.22 104.22 32.76°
Element x y z (fractional)
Mn (0.0000, 0.0000, 0.0000)
Zn (0.6925, 0.6925, 0.3320)
Sb (0.2523, 0.2523, 0.8731)
Sb (0.4519, 0.4519, 0.4823)


Density functional theory data (GGA-PBE) for a geometry-optimized ZrAsBr2 structure.

Results
Relative energy among the computed polymorphs, meV/atom: 728
Crystal system: orthorhombic
Formation energy without anion corrections, eV per atom: -0.099

Cell: 3.3392 4.7482 5.5968 Å, 90.00 90.00 90.00°
Element x y z (fractional)
Zr (0.0000, 0.0000, 0.0000)
As (0.5000, 0.0000, 0.5000)
Br (0.0000, 0.5000, 0.5000)
Br (0.5000, 0.5000, 0.0000)


Density functional theory data (GGA-PBE) for a geometry-optimized V2W3 structure.

Results
E_form, eV per atom: 0.560
Relative energy among the computed polymorphs, meV/atom: 652
Crystal system: orthorhombic

Cell: 7.0364 6.7322 6.6916 Å, 90.00 90.00 90.00°
Element x y z (fractional)
V (0.0957, 0.1962, 0.1121)
V (0.0957, 0.8038, 0.6121)
V (0.4043, 0.3038, 0.6121)
V (0.4043, 0.6962, 0.1121)
V (0.5957, 0.3038, 0.8879)
V (0.5957, 0.6962, 0.3879)
V (0.9043, 0.1962, 0.3879)
V (0.9043, 0.8038, 0.8879)
W (0.0000, 0.1843, 0.7500)
W (0.0000, 0.8157, 0.2500)
W (0.1716, 0.4968, 0.3930)
W (0.1716, 0.5032, 0.8930)
W (0.3284, 0.0032, 0.8930)
W (0.3284, 0.9968, 0.3930)
W (0.5000, 0.3157, 0.2500)
W (0.5000, 0.6843, 0.7500)
W (0.6716, 0.0032, 0.6070)
W (0.6716, 0.9968, 0.1070)
W (0.8284, 0.4968, 0.1070)
W (0.8284, 0.5032, 0.6070)


Density functional theory data (GGA-PBE) for a geometry-optimized CaCd2Br structure.

Results
Relative energy among the computed polymorphs, meV/atom: 105
Crystal system: monoclinic
Formation energy without anion corrections, eV per atom: -0.556

Cell: 3.7483 6.6526 4.6569 Å, 90.00 91.38 90.00°
Element x y z (fractional)
Ca (0.0000, 0.0000, 0.0000)
Cd (0.2494, 0.5000, 0.7529)
Cd (0.7506, 0.5000, 0.2471)
Br (0.5000, 0.0000, 0.5000)


Density functional theory data (GGA-PBE) for a geometry-optimized Pm2SnSe5 structure.

Results
Relative energy among the computed polymorphs, meV/atom: 113
Crystal system: orthorhombic
Formation energy without anion corrections, eV per atom: -1.198

Cell: 7.8533 7.8533 13.3036 Å, 90.00 90.00 136.29°
Element x y z (fractional)
Pm (0.1681, 0.8319, 0.5724)
Pm (0.1681, 0.8319, 0.9276)
Pm (0.8319, 0.1681, 0.0724)
Pm (0.8319, 0.1681, 0.4276)
Sn (0.1798, 0.8202, 0.2500)
Sn (0.8202, 0.1798, 0.7500)
Se (0.0299, 0.9701, 0.0903)
Se (0.0299, 0.9701, 0.4097)
Se (0.2816, 0.7184, 0.7500)
Se (0.3031, 0.6969, 0.0895)
Se (0.3031, 0.6969, 0.4105)
Se (0.6969, 0.3031, 0.5895)
Se (0.6969, 0.3031, 0.9105)
Se (0.7184, 0.2816, 0.2500)
Se (0.9701, 0.0299, 0.5903)
Se (0.9701, 0.0299, 0.9097)


Density functional theory data (GGA-PBE) for a geometry-optimized Er5Tl structure.

Results
E_form, eV per atom: -0.109
Relative energy among the computed polymorphs, meV/atom: 0
Crystal system: orthorhombic

Cell: 7.8514 7.8514 4.8204 Å, 90.00 90.00 144.18°
Element x y z (fractional)
Er (0.0000, 0.0000, 0.0000)
Er (0.1631, 0.8369, 0.5000)
Er (0.3304, 0.6696, 0.0000)
Er (0.6696, 0.3304, 0.0000)
Er (0.8369, 0.1631, 0.5000)
Tl (0.5000, 0.5000, 0.5000)


Density functional theory data (GGA-PBE) for a geometry-optimized LaIn2C structure.

Results
E_form, eV per atom: 1.078
Relative energy among the computed polymorphs, meV/atom: 689
Crystal system: cubic

Cell: 5.1520 5.1520 5.1520 Å, 60.00 60.00 60.00°
Element x y z (fractional)
La (0.0000, 0.0000, 0.0000)
In (0.2500, 0.2500, 0.2500)
In (0.7500, 0.7500, 0.7500)
C (0.5000, 0.5000, 0.5000)


Density functional theory data (GGA-PBE) for a geometry-optimized Ni3Pt3Rh2 structure.

Results
E_form, eV per atom: -0.048
Crystal system: orthorhombic

Cell: 8.1459 8.1459 8.1459 Å, 153.49 152.87 38.30°
Element x y z (fractional)
Ni (0.0000, 0.0000, 0.0000)
Ni (0.3747, 0.8747, 0.5000)
Ni (0.6253, 0.1253, 0.5000)
Pt (0.1237, 0.6237, 0.5000)
Pt (0.5000, 0.5000, 0.0000)
Pt (0.8763, 0.3763, 0.5000)
Rh (0.2512, 0.2512, 0.0000)
Rh (0.7488, 0.7488, 0.0000)